(1)
Material: AlICl3
Method: DFT, GGA-PBE
State: relaxed

Summary:
- uncorrected formation energy (kJ/mol of formula units) = -445
- spin magnetization (Bohr magnetons per cell) = 0.33
- offset from the most stable computed form (eV per atom) = 0.000
- DOS at the Fermi energy (states/eV/atom) = 0.31

abc: 5.860 8.098 6.274
angles: 89.91 90.00 90.00
Last column: magnetic moment on the atom in μB.
Fractional positions:
1 Al 0.161 0.687 0.701  0.00
2 Al 0.661 0.666 0.201  0.00
3 I 0.402 0.388 0.701  0.08
4 I 0.902 0.965 0.200  0.08
5 Cl 0.465 0.420 0.201  0.04
6 Cl 0.425 0.795 0.949  0.00
7 Cl 0.925 0.558 0.449  0.00
8 Cl 0.965 0.933 0.700  0.04
9 Cl 0.925 0.558 0.953  0.00
10 Cl 0.425 0.795 0.452  0.00



(2)
Material: AlICl2
Method: DFT, GGA-PBE
State: relaxed

Summary:
- uncorrected formation energy (kJ/mol of formula units) = 76
- spin magnetization (Bohr magnetons per cell) = 1.13
- offset from the most stable computed form (eV per atom) = 1.392
- DOS at the Fermi energy (states/eV/atom) = 1.27

abc: 5.263 5.263 5.263
angles: 60.00 60.00 60.00
Last column: magnetic moment on the atom in μB.
Fractional positions:
1 I 0.500 0.500 0.500  0.47
2 Al 0.000 0.000 0.000  0.03
3 Cl 0.250 0.250 0.250  0.17
4 Cl 0.750 0.750 0.750  0.17



(3)
Material: AlI3Cl
Method: DFT, GGA-PBE
State: relaxed

Summary:
- uncorrected formation energy (kJ/mol of formula units) = -17
- spin magnetization (Bohr magnetons per cell) = 1.02
- offset from the most stable computed form (eV per atom) = 0.601
- DOS at the Fermi energy (states/eV/atom) = 1.45

abc: 5.544 5.544 5.544
angles: 90.00 90.00 90.00
Last column: magnetic moment on the atom in μB.
Fractional positions:
1 I 0.000 0.500 0.000  0.14
2 I 0.000 0.000 0.500  0.10
3 I 0.500 0.000 0.000  0.17
4 Al 0.000 0.000 0.000  -0.01
5 Cl 0.500 0.500 0.500  0.35



(4)
Material: Al2ICl
Method: DFT, GGA-PBE
State: relaxed

Summary:
- uncorrected formation energy (kJ/mol of formula units) = -28
- spin magnetization (Bohr magnetons per cell) = 0.00
- offset from the most stable computed form (eV per atom) = 0.000
- DOS at the Fermi energy (states/eV/atom) = 0.12

abc: 5.233 5.233 9.760
angles: 74.45 74.45 90.00
Fractional positions:
1 I 0.000 0.000 0.000
2 I 0.750 0.250 0.500
3 Al 0.476 0.125 0.250
4 Al 0.274 0.625 0.250
5 Al 0.375 0.524 0.750
6 Al 0.875 0.726 0.750
7 Cl 0.500 0.500 0.000
8 Cl 0.250 0.750 0.500



(5)
Material: AlICl3
Method: DFT, GGA-PBE
State: relaxed

Summary:
- uncorrected formation energy (kJ/mol of formula units) = -262
- spin magnetization (Bohr magnetons per cell) = 1.15
- offset from the most stable computed form (eV per atom) = 0.380
- DOS at the Fermi energy (states/eV/atom) = 0.80

abc: 4.919 4.919 4.919
angles: 90.00 90.00 90.00
Last column: magnetic moment on the atom in μB.
Fractional positions:
1 I 0.500 0.500 0.500  0.62
2 Al 0.000 0.000 0.000  -0.01
3 Cl 0.000 0.500 0.000  0.04
4 Cl 0.000 0.000 0.500  0.10
5 Cl 0.500 0.000 0.000  0.07



(6)
Material: Al2I4Cl
Method: DFT, GGA-PBE
State: relaxed

Summary:
- uncorrected formation energy (kJ/mol of formula units) = -71
- spin magnetization (Bohr magnetons per cell) = 0.01
- DOS at the Fermi energy (states/eV/atom) = 0.64

abc: 6.243 6.243 8.491
angles: 68.43 68.43 90.00
Fractional positions:
1 I 0.752 0.752 0.497
2 I 0.248 0.248 0.503
3 I 0.000 0.500 0.000
4 I 0.500 0.000 0.000
5 Al 0.583 0.583 0.834
6 Al 0.417 0.417 0.166
7 Cl 0.000 0.000 0.000